## Pr3Sm4Tm5 (GGA-PBE)

Data for an optimized crystal structure of Pr3Sm4Tm5.

```
Pr3Sm4Tm5
1.0
-0.701 5.334 4.749
-6.644 -9.047 -1.645
10.019 5.823 5.747
Tm Pr Sm
5 3 4
direct
0.751 0.501 0.001 Tm
0.249 0.499 0.999 Tm
0.670 0.335 0.165 Tm
0.500 0.000 0.500 Tm
0.330 0.665 0.835 Tm
0.583 0.165 0.332 Pr
0.000 0.000 0.500 Pr
0.417 0.835 0.668 Pr
0.918 0.837 0.670 Sm
0.830 0.661 0.832 Sm
0.170 0.339 0.168 Sm
0.082 0.163 0.330 Sm
```

Values from the calculation:
**Energy above the lowest structure with this stoichiometry**: 0 meV/atom
**Final energy**: -4.61 eV/atom
**Energy of formation**: 2 kJ/mol of atoms
**Volume**: 392 Å³ per cell